An optimized crystal structure of SnPbCl2, computed with PBE.

a b c (Å): 10.355 10.355 10.355
angles (deg): 19.89 19.89 19.89
Sites, in units of the cell vectors:
Sn: 0.000 0.000 0.000
Pb: 0.500 0.500 0.500
Cl: 0.406 0.406 0.406
Cl: 0.594 0.594 0.594

Output
The value obtained for the energy above the most stable polymorph in this dataset is 0.00 kcal/mol of atoms. As for the size of the total moment: 0.00 μB/atom. Its density of states at the Fermi level is 1.55 states/eV/cell. The space-group type is No. 166. As for the volume: 28.1 Å³ per atom.

***

An optimized crystal structure of K2Mg3CdF12, computed with PBE.

a b c (Å): 7.408 7.408 7.408
angles (deg): 60.02 60.02 60.02
Sites, in units of the cell vectors:
K: 0.121 0.121 0.121
K: 0.879 0.879 0.879
Mg: 0.000 0.500 0.500
Mg: 0.500 0.000 0.500
Mg: 0.500 0.500 0.000
Cd: 0.500 0.500 0.500
F: 0.146 0.593 0.593
F: 0.187 0.187 0.576
F: 0.187 0.576 0.187
F: 0.407 0.407 0.854
F: 0.407 0.854 0.407
F: 0.424 0.813 0.813
F: 0.576 0.187 0.187
F: 0.593 0.146 0.593
F: 0.593 0.593 0.146
F: 0.813 0.424 0.813
F: 0.813 0.813 0.424
F: 0.854 0.407 0.407

Output
As for the size of the total moment: 0.12 μB/atom. The value obtained for the calculated total energy is -4.40 eV per atom. Its density of states at the Fermi level is 9.14 states/eV/cell. The space-group type is No. 166. As for the volume: 16.0 Å³ per atom.

***

An optimized crystal structure of CsCSN, computed with PBE.

a b c (Å): 8.203 6.528 8.487
angles (deg): 90.00 90.00 90.00
Sites, in units of the cell vectors:
Cs: 0.181 0.250 0.104
Cs: 0.319 0.750 0.604
Cs: 0.681 0.250 0.396
Cs: 0.819 0.750 0.896
C: 0.183 0.250 0.557
C: 0.317 0.750 0.057
C: 0.683 0.250 0.943
C: 0.817 0.750 0.443
S: 0.031 0.250 0.682
S: 0.469 0.750 0.182
S: 0.531 0.250 0.818
S: 0.969 0.750 0.318
N: 0.204 0.750 0.968
N: 0.296 0.250 0.468
N: 0.704 0.750 0.532
N: 0.796 0.250 0.032

Output
As for the size of the total moment: 0.00 μB/atom. The value obtained for the calculated total energy is -6.10 eV per atom. Its density of states at the Fermi level is 0.00 states/eV/cell. The space-group type is No. 62. As for the volume: 28.4 Å³ per atom.

***

An optimized crystal structure of CuWSe2, computed with PBE.

a b c (Å): 3.284 3.284 16.948
angles (deg): 90.00 90.00 120.00
Sites, in units of the cell vectors:
Cu: 0.333 0.667 0.044
Cu: 0.667 0.333 0.956
W: 0.333 0.667 0.289
W: 0.667 0.333 0.711
Se: 0.333 0.667 0.611
Se: 0.333 0.667 0.813
Se: 0.667 0.333 0.187
Se: 0.667 0.333 0.389

Output
The value obtained for the energy above the most stable polymorph in this dataset is 0.00 kcal/mol of atoms. As for the size of the total moment: 0.00 μB/atom. Its density of states at the Fermi level is 1.68 states/eV/cell. The space-group type is No. 164. As for the volume: 19.8 Å³ per atom.

***

An optimized crystal structure of In2P, computed with PBE.

a b c (Å): 3.900 3.904 5.990
angles (deg): 72.02 89.63 60.04
Sites, in units of the cell vectors:
In: 0.000 0.000 0.000
In: 0.177 0.637 0.576
P: 0.423 0.151 0.288

Output
The formation energy comes out at 12 meV/atom. The value obtained for the energy above the most stable polymorph in this dataset is 1.06 kcal/mol of atoms. As for the size of the total moment: 0.00 μB/atom. Its density of states at the Fermi level is 0.47 states/eV/cell. The space-group type is No. 1. As for the volume: 24.6 Å³ per atom.

***

An optimized crystal structure of PtC5, computed with PBE.

a b c (Å): 2.604 7.025 7.025
angles (deg): 21.16 90.00 90.00
Sites, in units of the cell vectors:
Pt: 0.000 0.000 0.000
C: 0.000 0.306 0.306
C: 0.000 0.740 0.740
C: 0.500 0.113 0.113
C: 0.500 0.367 0.367
C: 0.500 0.675 0.675

Output
The formation energy comes out at 780 meV/atom. The value obtained for the energy above the most stable polymorph in this dataset is 1.69 kcal/mol of atoms. As for the size of the total moment: 0.00 μB/atom. Its density of states at the Fermi level is 1.95 states/eV/cell. The space-group type is No. 38. As for the volume: 7.7 Å³ per atom.

***

An optimized crystal structure of HgPd8Pb2, computed with PBE.

a b c (Å): 7.597 7.597 7.597
angles (deg): 148.56 118.11 71.08
Sites, in units of the cell vectors:
Hg: 0.000 0.000 0.000
Pd: 0.088 0.835 0.253
Pd: 0.166 0.666 0.500
Pd: 0.254 0.500 0.754
Pd: 0.419 0.165 0.253
Pd: 0.581 0.835 0.747
Pd: 0.746 0.500 0.246
Pd: 0.834 0.334 0.500
Pd: 0.912 0.165 0.747
Pb: 0.338 0.338 0.000
Pb: 0.662 0.662 0.000

Output
The formation energy comes out at -197 meV/atom. The value obtained for the energy above the most stable polymorph in this dataset is 0.00 kcal/mol of atoms. As for the size of the total moment: 0.00 μB/atom. Its density of states at the Fermi level is 5.09 states/eV/cell. The space-group type is No. 71. As for the volume: 18.1 Å³ per atom.

***

An optimized crystal structure of MoPb2Br, computed with PBE.

a b c (Å): 3.526 3.526 8.171
angles (deg): 90.00 90.00 90.00
Sites, in units of the cell vectors:
Mo: 0.000 0.000 0.000
Pb: 0.500 0.500 0.214
Pb: 0.500 0.500 0.786
Br: 0.000 0.000 0.500

Output
The value obtained for the energy above the most stable polymorph in this dataset is 4.03 kcal/mol of atoms. As for the size of the total moment: 0.54 μB/atom. Its density of states at the Fermi level is 2.95 states/eV/cell. The space-group type is No. 123. As for the volume: 25.4 Å³ per atom.